[1]
# Na2I3Cl6

A geometry-optimized Na2I3Cl6 structure (PBE-GGA, Alexandria via LeMat-Bulk).

* total magnetic moment: 0.00 μB/f.u.
* VASP energy: -26.4 eV per formula unit
* SG: C2/c, No. 15

```
data_Na2I3Cl6
_chemical_formula_sum 'Na4 I6 Cl12'
_symmetry_space_group_name_H-M 'P 1'
_symmetry_Int_Tables_number 1
_symmetry_space_group_name_Hall 'P 1'
_cell_length_a 7.2868
_cell_length_b 7.4119
_cell_length_c 16.5325
_cell_angle_alpha 77.22
_cell_angle_beta 77.27
_cell_angle_gamma 60.56
loop_
_atom_site_label
_atom_site_type_symbol
_atom_site_fract_x
_atom_site_fract_y
_atom_site_fract_z
Na1 Na 0.3345 0.8307 0.9998
Na2 Na 0.6655 0.1693 0.0002
Na3 Na 0.1650 0.6693 0.5002
Na4 Na 0.8350 0.3307 0.4998
Cl1 Cl 0.1357 0.9707 0.5906
Cl2 Cl 0.9737 0.1315 0.0915
Cl3 Cl 0.6352 0.8065 0.0911
Cl4 Cl 0.1967 0.3685 0.4085
Cl5 Cl 0.3029 0.4707 0.0906
Cl6 Cl 0.3648 0.1935 0.9089
Cl7 Cl 0.5328 0.6935 0.4089
Cl8 Cl 0.4672 0.3065 0.5911
Cl9 Cl 0.8643 0.0293 0.4094
Cl10 Cl 0.0263 0.8685 0.9085
Cl11 Cl 0.8033 0.6315 0.5915
Cl12 Cl 0.6971 0.5293 0.9094
I1 I 0.7504 0.5784 0.7505
I2 I 0.5812 0.7500 0.2500
I3 I 0.4188 0.2500 0.7500
I4 I 0.0792 0.9216 0.7495
I5 I 0.2496 0.4216 0.2495
I6 I 0.9208 0.0784 0.2505
```

[2]
# NaNiI2Cl

A geometry-optimized NaNiI2Cl structure (PBE-GGA, Alexandria via LeMat-Bulk).

* total magnetic moment: 2.02 μB/f.u.
* VASP energy: -8.9 eV per formula unit
* SG: P4/mmm, No. 123

```
data_NaNiI2Cl
_chemical_formula_sum 'Na1 Ni1 I2 Cl1'
_symmetry_space_group_name_H-M 'P 1'
_symmetry_Int_Tables_number 1
_symmetry_space_group_name_Hall 'P 1'
_cell_length_a 5.7046
_cell_length_b 5.4646
_cell_length_c 5.7046
_cell_angle_alpha 90.00
_cell_angle_beta 90.00
_cell_angle_gamma 90.00
loop_
_atom_site_label
_atom_site_type_symbol
_atom_site_fract_x
_atom_site_fract_y
_atom_site_fract_z
I1 I 0.5000 0.0000 0.0000
I2 I 0.0000 0.0000 0.5000
Na1 Na 0.0000 0.0000 0.0000
Ni1 Ni 0.0000 0.5000 0.0000
Cl1 Cl 0.5000 0.5000 0.5000
```